5
Lattice="-0.7714 -4.7719 1.9409 3.2013 -1.9816 -3.5997 4.0361 0.6597 3.2261" Properties=species:S:1:pos:R:3 comment="HfGe3N | Alexandria | PBE-GGA | optimized geometry" vol_a3_per_atom=28.27 rho_g_cm3=4.822 raw_formation_energy_ev_per_atom=1.456 polymorph_energy_kj_per_mol_fu=490.4 dft_energy_ev_per_cell=-24.851 pbc="T T T"
N 3.2330 -3.0469 0.7836
Hf 0.0000 0.0000 0.0000
Ge 2.0180 0.3298 1.6131
Ge -0.3857 -2.3859 0.9704
Ge 1.6006 -0.9908 -1.7999

=====

5
Lattice="3.7358 0.0000 0.0000 0.0000 3.7358 0.0000 0.0000 0.0000 3.7358" Properties=species:S:1:pos:R:3 comment="HfGeN3 | Alexandria | PBE-GGA | optimized geometry" vol_a3_per_atom=10.43 rho_g_cm3=9.337 raw_formation_energy_ev_per_atom=0.324 dft_energy_ev_per_cell=-37.926 pbc="T T T"
Ge 0.0000 0.0000 0.0000
Hf 1.8679 1.8679 1.8679
N 0.0000 1.8679 0.0000
N 0.0000 0.0000 1.8679
N 1.8679 0.0000 0.0000

=====

5
Lattice="-0.5587 3.6485 -1.7111 -4.1618 -0.1724 0.9912 0.7757 1.7925 3.5689" Properties=species:S:1:pos:R:3 comment="HfGeNO2 | Alexandria | PBE-GGA | optimized geometry" vol_a3_per_atom=14.17 rho_g_cm3=6.962 raw_formation_energy_ev_per_atom=-1.183 dft_energy_ev_per_cell=-38.726 pbc="T T T"
O -0.2793 1.8243 -0.8556
O 0.3878 0.8963 1.7844
Hf 0.0000 0.0000 0.0000
Ge -1.9724 2.6343 1.4245
N -2.0809 -0.0862 0.4956

=====

5
Lattice="-2.8238 -1.7920 -1.6089 -0.6110 -1.8651 3.1498 -2.4394 2.7871 1.1771" Properties=species:S:1:pos:R:3 comment="HfGeNO2 | Alexandria | PBE-GGA | optimized geometry" vol_a3_per_atom=10.71 rho_g_cm3=9.217 raw_formation_energy_ev_per_atom=-0.880 dft_energy_ev_per_cell=-37.214 pbc="T T T"
O -1.4119 -0.8960 -0.8044
O -0.3055 -0.9325 1.5749
Hf -2.9371 -0.4350 1.3590
Ge 0.0000 0.0000 0.0000
N -1.2197 1.3936 0.5886

=====

5
Lattice="-0.1259 3.3735 1.7377 -3.7039 -0.4873 0.6778 0.7868 -1.5947 3.1528" Properties=species:S:1:pos:R:3 comment="HfGeN2O | Alexandria | PBE-GGA | optimized geometry" vol_a3_per_atom=10.44 rho_g_cm3=9.393 raw_formation_energy_ev_per_atom=-0.460 dft_energy_ev_per_cell=-38.482 pbc="T T T"
N -1.8519 -0.2437 0.3389
N -0.0629 1.6867 0.8688
O 0.3934 -0.7973 1.5764
Ge 0.0000 0.0000 0.0000
Hf -1.5215 0.6457 2.7841

=====

5
Lattice="-0.5905 -1.4029 3.9603 -0.5121 -3.9454 -1.4740 3.9905 -0.6537 0.3634" Properties=species:S:1:pos:R:3 comment="HfGeN2O | Alexandria | PBE-GGA | optimized geometry" vol_a3_per_atom=14.62 rho_g_cm3=6.706 raw_formation_energy_ev_per_atom=-0.248 dft_energy_ev_per_cell=-37.422 pbc="T T T"
N -0.2560 -1.9727 -0.7370
N -0.2952 -0.7014 1.9802
Hf 0.0000 0.0000 0.0000
O 1.9953 -0.3268 0.1817
Ge 1.4440 -3.0010 1.4249

=====

5
Lattice="4.0380 0.0000 0.0000 0.0000 4.0380 0.0000 0.0000 0.0000 5.7703" Properties=species:S:1:pos:R:3 comment="HfGePN2 | Alexandria | PBE-GGA | optimized geometry" vol_a3_per_atom=18.82 rho_g_cm3=5.473 raw_formation_energy_ev_per_atom=0.836 dft_energy_ev_per_cell=-32.449 pbc="T T T"
N 2.0190 0.0000 0.0000
N 0.0000 2.0190 0.0000
Ge 0.0000 0.0000 2.8852
P 2.0190 2.0190 2.8852
Hf 0.0000 0.0000 0.0000

=====

18
Lattice="3.2470 0.0000 0.0000 -1.6235 6.9488 0.0000 0.0000 0.0000 10.1873" Properties=species:S:1:pos:R:3 comment="HfPa2GeN5 | Alexandria | PBE-GGA | optimized geometry" vol_a3_per_atom=12.77 rho_g_cm3=11.317 raw_formation_energy_ev_per_atom=-1.138 dft_energy_ev_per_cell=-170.856 pbc="T T T"
N 1.6235 0.0281 2.9296
N 0.0000 6.9207 8.0233
N 1.6235 1.8065 5.1999
N 0.0000 4.2242 3.6304
N 1.6235 6.2248 5.5847
N 1.6235 2.9057 1.5436
N 1.6235 2.7246 8.7241
N 0.0000 4.0432 6.6372
N 0.0000 5.1424 0.1062
N 0.0000 0.7240 0.4911
Pa 1.6235 5.2244 2.0901
Pa 0.0000 1.9117 2.9389
Pa 1.6235 5.0372 8.0326
Pa 0.0000 1.7244 7.1838
Ge 1.6235 0.0700 9.9293
Ge 0.0000 6.8789 4.8356
Hf 1.6235 3.9478 5.1094
Hf 0.0000 3.0011 0.0157

=====

10
Lattice="5.6471 -0.0001 0.0004 2.8235 4.8902 0.0000 2.8235 1.6301 4.7509" Properties=species:S:1:pos:R:3 comment="HfPa2GeN6 | Alexandria | PBE-GGA | optimized geometry" vol_a3_per_atom=13.12 rho_g_cm3=10.091 raw_formation_energy_ev_per_atom=-1.114 dft_energy_ev_per_cell=-94.651 pbc="T T T"
Hf 8.4706 4.8902 2.7381
N 6.3044 1.7731 3.6075
N 4.6007 1.3343 1.2021
N 6.6062 4.5730 3.6071
N 7.8381 3.3168 1.2021
N 4.0303 3.4343 3.6069
N 4.5022 5.1293 1.2020
Pa 5.6471 3.2602 1.9833
Pa 2.8236 1.6300 4.2972
Ge 2.8237 1.6299 0.3821

=====

18
Lattice="-3.0951 0.3808 1.2392 3.3017 -4.4175 5.0607 3.0986 8.2707 5.1980" Properties=species:S:1:pos:R:3 comment="Pr2HfGeN5 | Alexandria | PBE-GGA | optimized geometry" vol_a3_per_atom=13.94 rho_g_cm3=7.983 raw_formation_energy_ev_per_atom=-0.907 dft_energy_ev_per_cell=-147.848 pbc="T T T"
N 1.2507 -2.9728 4.0374
N 0.5214 3.1147 4.8886
N -0.3353 -0.3180 3.8036
N 4.1862 2.2937 9.7511
N 2.3103 0.4174 5.6424
N -0.6533 2.5481 2.1287
N 1.8022 5.9718 7.2099
N 0.3145 -0.0212 0.7920
N 1.7315 0.8941 8.5935
N 3.0413 2.9527 6.6891
Hf 0.7969 -1.6982 2.5123
Hf 1.0465 2.0304 6.5334
Ge 2.9766 -0.0779 7.4587
Ge 1.5732 7.6340 6.1270
Pr 1.3970 1.4639 3.0396
Pr 0.3772 -1.5787 5.9707
Pr 2.5085 4.6931 4.8235
Pr 2.2610 3.7119 9.0502

=====

18
Lattice="3.2294 0.0000 0.0000 -1.6147 6.8637 0.0000 0.0000 0.0000 10.3235" Properties=species:S:1:pos:R:3 comment="Pu2HfGeN5 | Alexandria | PBE-GGA | optimized geometry" vol_a3_per_atom=12.71 rho_g_cm3=11.744 raw_formation_energy_ev_per_atom=-0.981 dft_energy_ev_per_cell=-187.380 pbc="T T T"
Ge 1.6147 0.0578 10.0717
Ge 0.0000 6.8059 4.9099
N 0.0000 3.9472 6.7024
N 1.6147 6.1089 5.6468
N 0.0000 5.0747 0.1037
N 1.6147 0.0236 3.0046
N 1.6147 2.9165 1.5407
N 0.0000 4.1092 3.7140
N 1.6147 2.7545 8.8758
N 1.6147 1.7889 5.2654
N 0.0000 0.7547 0.4851
N 0.0000 6.8401 8.1663
Hf 0.0000 2.9985 0.0065
Hf 1.6147 3.8652 5.1683
Pu 1.6147 5.0304 8.0629
Pu 0.0000 1.8333 2.9012
Pu 0.0000 1.6974 7.3257
Pu 1.6147 5.1663 2.1640

=====

11
Lattice="4.2890 0.0000 0.0000 0.0000 4.2890 0.0000 -2.1445 -2.1445 10.9617" Properties=species:S:1:pos:R:3 comment="Hf4Sc2Ge3N2 | Alexandria | PBE-GGA | optimized geometry" vol_a3_per_atom=18.33 rho_g_cm3=8.645 raw_formation_energy_ev_per_atom=-0.967 dft_energy_ev_per_cell=-93.615 pbc="T T T"
Ge 0.0000 0.0000 3.8826
Ge 2.1445 2.1445 7.0790
Ge 0.0000 0.0000 0.0000
Hf 2.1445 0.0000 9.1810
Hf 0.0000 2.1445 9.1810
Hf 0.0000 2.1445 1.7806
Hf 2.1445 0.0000 1.7806
N 0.0000 0.0000 8.8699
N 2.1445 2.1445 2.0918
Sc 2.1445 2.1445 4.2811
Sc 0.0000 0.0000 6.6806

=====

5
Lattice="5.2633 0.0000 0.0000 0.0000 5.0145 0.0000 0.0000 0.0000 5.2633" Properties=species:S:1:pos:R:3 comment="HfSc2GeN | Alexandria | PBE-GGA | optimized geometry" vol_a3_per_atom=27.78 rho_g_cm3=4.244 raw_formation_energy_ev_per_atom=1.607 polymorph_energy_kj_per_mol_fu=1260.7 dft_energy_ev_per_cell=-27.522 pbc="T T T"
Ge 0.0000 2.5073 0.0000
Sc 0.0000 0.0000 2.6316
Sc 2.6316 0.0000 0.0000
Hf 0.0000 0.0000 0.0000
N 2.6316 2.5073 2.6316

=====

5
Lattice="-3.8837 -0.6377 -1.9607 -0.8433 -3.3244 2.7516 -1.8548 2.7667 2.7741" Properties=species:S:1:pos:R:3 comment="HfSc2GeN | Alexandria | PBE-GGA | optimized geometry" vol_a3_per_atom=16.76 rho_g_cm3=7.035 raw_formation_energy_ev_per_atom=-1.006 polymorph_energy_kj_per_mol_fu=0.0 dft_energy_ev_per_cell=-40.589 pbc="T T T"
Sc -1.9418 -0.3189 -0.9804
Sc -0.4217 -1.6622 1.3758
Ge -3.2909 -0.5977 1.7825
Hf -0.9274 1.3833 1.3871
N 0.0000 0.0000 0.0000

=====

5
Lattice="-1.9700 -2.3060 -4.3410 2.0673 -4.6316 1.5222 -3.3805 -0.8553 1.9885" Properties=species:S:1:pos:R:3 comment="HfGeSe2N | Alexandria | PBE-GGA | optimized geometry" vol_a3_per_atom=22.51 rho_g_cm3=6.241 raw_formation_energy_ev_per_atom=-0.103 polymorph_energy_kj_per_mol_fu=0.0 dft_energy_ev_per_cell=-30.381 pbc="T T T"
Se -0.9850 -1.1530 -2.1705
Se 1.0336 -2.3158 0.7611
Hf 0.0000 0.0000 0.0000
Ge -1.6416 -3.8964 -0.4152
N -1.6902 -0.4277 0.9942

=====

5
Lattice="4.1094 0.0000 0.0000 0.0000 4.1094 0.0000 0.0000 0.0000 5.5284" Properties=species:S:1:pos:R:3 comment="HfGeSeN2 | Alexandria | PBE-GGA | optimized geometry" vol_a3_per_atom=18.67 rho_g_cm3=6.369 raw_formation_energy_ev_per_atom=0.226 polymorph_energy_kj_per_mol_fu=0.0 dft_energy_ev_per_cell=-33.574 pbc="T T T"
Ge 2.0547 2.0547 2.7642
Se 0.0000 0.0000 2.7642
N 0.0000 2.0547 0.0000
N 2.0547 0.0000 0.0000
Hf 0.0000 0.0000 0.0000

=====

5
Lattice="5.1130 0.0000 0.0000 0.0000 5.1130 0.0000 0.0000 0.0000 3.5271" Properties=species:S:1:pos:R:3 comment="HfGeSe2N | Alexandria | PBE-GGA | optimized geometry" vol_a3_per_atom=18.44 rho_g_cm3=7.619 raw_formation_energy_ev_per_atom=0.362 polymorph_energy_kj_per_mol_fu=224.3 dft_energy_ev_per_cell=-28.056 pbc="T T T"
Se 0.0000 2.5565 0.0000
Se 2.5565 0.0000 0.0000
N 0.0000 0.0000 1.7636
Hf 2.5565 2.5565 1.7636
Ge 0.0000 0.0000 0.0000

=====

5
Lattice="3.8663 0.0000 0.0000 0.0000 3.8663 0.0000 0.0000 0.0000 4.8566" Properties=species:S:1:pos:R:3 comment="HfGeSeN2 | Alexandria | PBE-GGA | optimized geometry" vol_a3_per_atom=14.52 rho_g_cm3=8.191 raw_formation_energy_ev_per_atom=0.658 polymorph_energy_kj_per_mol_fu=208.2 dft_energy_ev_per_cell=-31.417 pbc="T T T"
N 0.0000 1.9332 0.0000
N 1.9332 0.0000 0.0000
Se 0.0000 0.0000 2.4283
Hf 1.9332 1.9332 2.4283
Ge 0.0000 0.0000 0.0000

=====

5
Lattice="4.0036 0.0000 0.0000 0.0000 4.0036 0.0000 0.0000 0.0000 5.2043" Properties=species:S:1:pos:R:3 comment="HfGeTeN2 | Alexandria | PBE-GGA | optimized geometry" vol_a3_per_atom=16.68 rho_g_cm3=8.097 raw_formation_energy_ev_per_atom=1.063 polymorph_energy_kj_per_mol_fu=342.4 dft_energy_ev_per_cell=-29.049 pbc="T T T"
N 2.0018 0.0000 0.0000
N 0.0000 2.0018 0.0000
Ge 0.0000 0.0000 0.0000
Te 0.0000 0.0000 2.6021
Hf 2.0018 2.0018 2.6021

=====

5
Lattice="4.1628 0.0000 0.0000 0.0000 4.1628 0.0000 0.0000 0.0000 5.9356" Properties=species:S:1:pos:R:3 comment="HfGeTeN2 | Alexandria | PBE-GGA | optimized geometry" vol_a3_per_atom=20.57 rho_g_cm3=6.567 raw_formation_energy_ev_per_atom=0.353 polymorph_energy_kj_per_mol_fu=0.0 dft_energy_ev_per_cell=-32.597 pbc="T T T"
Ge 2.0814 2.0814 2.9678
N 2.0814 0.0000 0.0000
N 0.0000 2.0814 0.0000
Hf 0.0000 0.0000 0.0000
Te 0.0000 0.0000 2.9678

=====

5
Lattice="-1.9365 3.2634 1.4155 -3.5184 -1.9945 -0.2151 0.5879 -1.4957 4.2526" Properties=species:S:1:pos:R:3 comment="HfTi2GeN | Alexandria | PBE-GGA | optimized geometry" vol_a3_per_atom=14.91 rho_g_cm3=8.036 raw_formation_energy_ev_per_atom=-0.903 dft_energy_ev_per_cell=-43.200 pbc="T T T"
Ti -0.9682 1.6317 0.7078
Ti -1.7592 -0.9973 -0.1075
Hf 0.2940 -0.7479 2.1263
Ge -2.4335 -0.1134 2.7265
N 0.0000 0.0000 0.0000

=====

5
Lattice="5.0098 0.0000 0.0000 0.0000 3.6406 0.0000 0.0000 0.0000 5.0098" Properties=species:S:1:pos:R:3 comment="Hf2VGeN | Alexandria | PBE-GGA | optimized geometry" vol_a3_per_atom=18.27 rho_g_cm3=8.988 raw_formation_energy_ev_per_atom=0.381 dft_energy_ev_per_cell=-40.065 pbc="T T T"
Hf 0.0000 0.0000 2.5049
Hf 2.5049 0.0000 0.0000
Ge 2.5049 1.8203 2.5049
N 0.0000 1.8203 0.0000
V 0.0000 0.0000 0.0000

=====

10
Lattice="8.2603 0.0000 0.0000 0.0000 8.2603 0.0000 0.0000 0.0000 3.0211" Properties=species:S:1:pos:R:3 comment="NaHf2Ge2 | Alexandria | PBE-GGA | optimized geometry" vol_a3_per_atom=20.61 rho_g_cm3=8.462 polymorph_energy_kj_per_mol_fu=0.0 dft_energy_ev_per_cell=-63.258 formation_enthalpy_0k_mev_per_atom=-234 pbc="T T T"
Na 0.0000 0.0000 0.0000
Na 4.1302 4.1302 0.0000
Hf 1.0645 3.0657 0.0000
Hf 5.1946 1.0645 0.0000
Hf 7.1958 5.1946 0.0000
Hf 3.0657 7.1958 0.0000
Ge 6.8943 2.7642 1.5105
Ge 5.4961 6.8943 1.5105
Ge 1.3660 5.4961 1.5105
Ge 2.7642 1.3660 1.5105

=====

8
Lattice="8.6425 0.0000 0.0000 0.0000 8.6425 0.0000 4.3212 4.3212 2.7166" Properties=species:S:1:pos:R:3 comment="Na2HfGe | Alexandria | PBE-GGA | optimized geometry" vol_a3_per_atom=25.36 rho_g_cm3=4.863 dft_energy_ev_per_cell=-30.004 formation_enthalpy_0k_mev_per_atom=552 pbc="T T T"
Na 10.8031 10.4139 2.0374
Na 6.0927 2.1606 0.6791
Na 6.4819 6.8711 2.0374
Na 2.5498 6.4819 0.6791
Hf 0.0000 0.0000 0.0000
Hf 8.6425 4.3212 1.3583
Ge 4.3212 4.3212 0.0000
Ge 4.3212 8.6425 1.3583

=====

10
Lattice="-2.0819 5.7567 5.0858 -6.9707 -3.6296 1.2550 1.3701 -1.7518 2.5437" Properties=species:S:1:pos:R:3 comment="Na2HfGe2 | Alexandria | PBE-GGA | optimized geometry" vol_a3_per_atom=21.40 rho_g_cm3=5.738 dft_energy_ev_per_cell=-42.066 formation_enthalpy_0k_mev_per_atom=159 pbc="T T T"
Ge -2.7141 3.2715 3.7148
Ge -6.3385 -1.1444 2.6260
Ge -2.5818 -0.0800 1.3355
Ge -6.4708 2.2071 5.0053
Na -6.7373 -0.4958 5.5314
Na -3.7911 2.8097 6.2209
Na -0.9451 0.8712 3.3530
Na -3.8914 -2.4343 2.6636
Hf 0.0000 0.0000 0.0000
Hf -4.5263 1.0635 3.1704